[1]
Entry from the Alexandria database: a relaxed structure of RbAgBH6 (GGA-PBE).

- energy (Ry/atom) = -0.24923

a = 4.7613 Å, b = 4.7679 Å, c = 6.1146 Å
α = 89.19°, β = 74.30°, γ = 70.14°
With the nearest neighbours (Å) after each atom.
Space group P1 (No. 1)
Unique sites:
Rb 0.0000 0.0000 0.0000 (multiplicity 1)  9 H 2.76-3.08
Ag 0.1926 0.4340 0.4578 (multiplicity 1)  3 H 1.68-1.88
B 0.7227 0.9091 0.5514 (multiplicity 1)  4 H 1.20-1.31
H 0.0988 0.4700 0.7447 (multiplicity 1)  1 Ag 1.68
H 0.3057 0.3940 0.1663 (multiplicity 1)  1 Ag 1.71
H 0.5369 0.0853 0.4445 (multiplicity 1)  1 B 1.31
H 0.5993 0.9377 0.7537 (multiplicity 1)  1 B 1.20
H 0.7379 0.6744 0.4526 (multiplicity 1)  1 B 1.25
H 0.9501 0.9891 0.4963 (multiplicity 1)  1 B 1.23

---

[2]
Entry from the Alexandria database: a relaxed structure of CaPr5Ga3 (GGA-PBE).

- energy of formation from the pure elements (eV/atom) = -0.378

a = 9.2951 Å, b = 9.2951 Å, c = 6.8413 Å
α = 90.00°, β = 90.00°, γ = 120.00°
With the nearest neighbours (Å) after each atom.
Space group P6_3/mcm (No. 193)
Unique sites:
Ca 0.0000 0.0000 0.0000 (multiplicity 2)  2 Ca 3.42, 6 Ga 3.51, 6 Pr 3.55
Pr 0.0000 0.3342 0.2500 (multiplicity 6)  5 Ga 3.09-3.42
Pr 0.3333 0.6667 0.0000 (multiplicity 4)  8 Pr 3.42-3.54, 6 Ga 3.55
Ga 0.0000 0.3303 0.7500 (multiplicity 6)  5 Pr 3.09-3.42

---

[3]
Entry from the Alexandria database: a relaxed structure of BaBiPO2 (GGA-PBE).

- polymorph energy (0 for the lowest one) (kJ/mol of formula units) = 416.5
- formation energy from raw total energies (meV/atom) = -9

a = 4.4172 Å, b = 4.4172 Å, c = 6.5491 Å
α = 90.00°, β = 90.00°, γ = 90.00°
With the nearest neighbours (Å) after each atom.
Space group P4/mmm (No. 123)
Unique sites:
Ba 0.0000 0.0000 0.0000 (multiplicity 1)  4 O 2.21
Bi 0.5000 0.5000 0.5000 (multiplicity 1)  4 P 3.12
P 0.0000 0.0000 0.5000 (multiplicity 1)  4 Bi 3.12, 2 Ba 3.27
O 0.0000 0.5000 0.0000 (multiplicity 2)  2 Ba 2.21

---

[4]
Entry from the Alexandria database: a relaxed structure of PaCoRh2 (GGA-PBE).

- energy of formation from the pure elements (eV/atom) = -0.383
- polymorph energy (0 for the lowest one) (kJ/mol of formula units) = 120.8

a = 4.5019 Å, b = 4.5019 Å, c = 11.5792 Å
α = 90.00°, β = 90.00°, γ = 120.00°
With the nearest neighbours (Å) after each atom.
Space group R-3m (No. 166, hexagonal axes)
Unique sites:
Pa 0.0000 0.0000 0.0000 (multiplicity 3)  2 Rh 2.56
Co 0.0000 0.0000 0.5000 (multiplicity 3)  6 Rh 2.67
Rh 0.0000 0.0000 0.2208 (multiplicity 6)  1 Pa 2.56, 3 Co 2.67

---

[5]
Entry from the Alexandria database: a relaxed structure of PmSm2Si6 (GGA-PBE).

- formation energy from raw total energies (meV/atom) = -571

a = 7.1423 Å, b = 7.1423 Å, c = 4.0940 Å
α = 90.00°, β = 90.00°, γ = 120.00°
With the nearest neighbours (Å) after each atom.
Space group P6/mmm (No. 191)
Unique sites:
Pm 0.0000 0.0000 0.0000 (multiplicity 1)  12 Si 3.14
Sm 0.3333 0.6667 0.0000 (multiplicity 2)  12 Si 3.14
Si 0.0000 0.3337 0.5000 (multiplicity 6)  3 Si 2.37-2.38

---

[6]
Entry from the Alexandria database: a relaxed structure of Er3Cu3Pd2 (GGA-PBE).

- energy of formation from the pure elements (eV/atom) = -0.538
- polymorph energy (0 for the lowest one) (kJ/mol of formula units) = 0.0

a = 4.0359 Å, b = 10.1534 Å, c = 15.1273 Å
α = 90.00°, β = 90.00°, γ = 90.00°
With the nearest neighbours (Å) after each atom.
Space group Cmcm (No. 63)
Unique sites:
Er 0.0000 0.0786 0.1035 (multiplicity 8)  6 Cu 2.91-3.05, 3 Pd 2.92-2.97
Er 0.0000 0.3518 0.2500 (multiplicity 4)  3 Cu 2.85-3.00, 4 Pd 2.97
Cu 0.0000 0.3672 0.7500 (multiplicity 4)  2 Pd 2.60, 1 Er 2.85
Cu 0.0000 0.3864 0.0332 (multiplicity 8)  1 Cu 2.52, 3 Pd 2.56-2.82
Pd 0.0000 0.2138 0.6124 (multiplicity 8)  4 Cu 2.56-2.82

---

[7]
Entry from the Alexandria database: a relaxed structure of CuAs2Cl (GGA-PBE).

- polymorph energy (0 for the lowest one) (kJ/mol of formula units) = 240.3
- formation energy from raw total energies (meV/atom) = 450

a = 4.8479 Å, b = 12.5080 Å, c = 2.8018 Å
α = 90.00°, β = 90.00°, γ = 90.00°
With the nearest neighbours (Å) after each atom.
Space group Cmmm (No. 65)
Unique sites:
Cu 0.0000 0.0000 0.0000 (multiplicity 2)  2 Cl 2.42
As 0.2500 0.2500 0.5000 (multiplicity 4)  2 As 2.42
Cl 0.0000 0.5000 0.0000 (multiplicity 2)  2 Cu 2.42

---

[8]
Entry from the Alexandria database: a relaxed structure of TcGePO2 (GGA-PBE).

- polymorph energy (0 for the lowest one) (kJ/mol of formula units) = 239.9
- formation energy from raw total energies (meV/atom) = -52

a = 3.5179 Å, b = 3.5179 Å, c = 6.4148 Å
α = 90.00°, β = 90.00°, γ = 90.00°
With the nearest neighbours (Å) after each atom.
Space group P4/mmm (No. 123)
Unique sites:
Tc 0.0000 0.0000 0.0000 (multiplicity 1)  4 P 2.49
Ge 0.5000 0.5000 0.5000 (multiplicity 1)  4 O 1.76
P 0.5000 0.5000 0.0000 (multiplicity 1)  4 Tc 2.49
O 0.0000 0.5000 0.5000 (multiplicity 2)  2 Ge 1.76

---

[9]
Entry from the Alexandria database: a relaxed structure of K2TeO3 (GGA-PBE).

- formation energy from raw total energies (meV/atom) = -1265

a = 6.4443 Å, b = 6.4443 Å, c = 6.5036 Å
α = 90.00°, β = 90.00°, γ = 120.00°
With the nearest neighbours (Å) after each atom.
Space group P6_3/mcm (No. 193)
Unique sites:
K 0.3333 0.6667 0.0000 (multiplicity 4)  6 O 2.79
Te 0.0000 0.0000 0.2500 (multiplicity 2)  3 O 1.93
O 0.0000 0.3000 0.2500 (multiplicity 6)  1 Te 1.93

---

[10]
Entry from the Alexandria database: a relaxed structure of Pm2TmPu (GGA-PBE).

- energy of formation from the pure elements (eV/atom) = 0.145
- polymorph energy (0 for the lowest one) (kJ/mol of formula units) = 13.5

a = 5.0209 Å, b = 5.0209 Å, c = 4.9846 Å
α = 90.00°, β = 90.00°, γ = 90.00°
With the nearest neighbours (Å) after each atom.
Space group P4/mmm (No. 123)
Unique sites:
Pm 0.0000 0.5000 0.0000 (multiplicity 2)  4 Tm 3.54, 4 Pu 3.54, 4 Pm 3.55
Tm 0.0000 0.0000 0.5000 (multiplicity 1)  8 Pm 3.54, 4 Pu 3.55
Pu 0.5000 0.5000 0.5000 (multiplicity 1)  8 Pm 3.54, 4 Tm 3.55